No. 1
DFT (GGA-PBE) results for a geometry-optimized Tb7HoAl4 structure.

Crystal system = monoclinic
E_form = -0.06 eV per atom

Cell and atoms, written as CIF:
```
data_Tb7HoAl4
_chemical_formula_sum 'Tb14 Ho2 Al8'
_space_group_name_H-M_alt 'C 1 2/m 1'
_space_group_IT_number 12
_cell_length_a 13.9067
_cell_length_b 5.5021
_cell_length_c 10.4254
_cell_angle_alpha 90.00
_cell_angle_beta 124.45
_cell_angle_gamma 90.00
loop_
_space_group_symop_operation_xyz
'x,y,z'
'-x,-y,-z'
'-x,y,-z'
'x,-y,z'
'x+1/2,y+1/2,z'
'-x+1/2,-y+1/2,-z'
'-x+1/2,y+1/2,-z'
'x+1/2,-y+1/2,z'
loop_
_atom_site_label
_atom_site_fract_x
_atom_site_fract_y
_atom_site_fract_z
_atom_site_occupancy
Tb1 0.0000 0.0000 0.0000 1
Tb2 0.0655 0.5000 0.3891 1
Tb3 0.2054 0.0000 0.6488 1
Tb4 0.2103 0.5000 0.8785 1
Ho1 0.0000 0.5000 0.0000 1
Al1 0.0537 0.0000 0.7610 1
Al2 0.1760 0.0000 0.3323 1
```

---

No. 2
DFT (GGA-PBE) results for a geometry-optimized Tb3Ho4Al structure.

Crystal system = tetragonal
E_form = -0.09 eV per atom

Cell and atoms, written as CIF:
```
data_Tb3Ho4Al
_chemical_formula_sum 'Tb3 Ho4 Al1'
_space_group_name_H-M_alt 'P 4/m m m'
_space_group_IT_number 123
_space_group_name_Hall '-P 4 2'
_cell_length_a 3.5248
_cell_length_b 3.5248
_cell_length_c 19.0113
_cell_angle_alpha 90.00
_cell_angle_beta 90.00
_cell_angle_gamma 90.00
loop_
_atom_site_label
_atom_site_fract_x
_atom_site_fract_y
_atom_site_fract_z
_atom_site_occupancy
Tb1 0.0000 0.0000 0.0000 1
Tb2 0.0000 0.0000 0.2653 1
Ho1 0.5000 0.5000 0.1332 1
Ho2 0.5000 0.5000 0.4001 1
Al1 0.0000 0.0000 0.5000 1
```

---

No. 3
DFT (GGA-PBE) results for a geometry-optimized Tb3HoAl2 structure.

Crystal system = orthorhombic
Energy above the lowest structure with this stoichiometry = 0.000 eV per atom
E_form = -0.29 eV per atom

Cell and atoms, written as CIF:
```
data_Tb3HoAl2
_chemical_formula_sum 'Tb6 Ho2 Al4'
_space_group_name_H-M_alt 'P m c 21'
_space_group_IT_number 26
_cell_length_a 5.1116
_cell_length_b 9.4968
_cell_length_c 6.5588
_cell_angle_alpha 90.00
_cell_angle_beta 90.00
_cell_angle_gamma 90.00
loop_
_space_group_symop_operation_xyz
'x,y,z'
'-x,-y,z+1/2'
'-x,y,z'
'x,-y,z+1/2'
loop_
_atom_site_label
_atom_site_fract_x
_atom_site_fract_y
_atom_site_fract_z
_atom_site_occupancy
Tb1 0.0000 0.0408 0.0000 1
Tb2 0.0000 0.3250 0.3392 1
Tb3 0.5000 0.1775 0.7150 1
Ho1 0.5000 0.4584 0.0537 1
Al1 0.0000 0.3529 0.8206 1
Al2 0.5000 0.1478 0.2342 1
```

---

No. 4
DFT (GGA-PBE) results for a geometry-optimized TbHo4Al3 structure.

Crystal system = orthorhombic
E_form = -0.13 eV per atom

Cell and atoms, written as CIF:
```
data_TbHo4Al3
_chemical_formula_sum 'Tb2 Ho8 Al6'
_space_group_name_H-M_alt 'I m m m'
_space_group_IT_number 71
_space_group_name_Hall '-I 2 2'
_cell_length_a 3.3523
_cell_length_b 8.5363
_cell_length_c 14.7548
_cell_angle_alpha 90.00
_cell_angle_beta 90.00
_cell_angle_gamma 90.00
loop_
_atom_site_label
_atom_site_fract_x
_atom_site_fract_y
_atom_site_fract_z
_atom_site_occupancy
Tb1 0.0000 0.0000 0.0000 1
Ho1 0.0000 0.3034 0.1408 1
Al1 0.0000 0.0000 0.5000 1
Al2 0.0000 0.5000 0.3170 1
```

---

No. 5
DFT (GGA-PBE) results for a geometry-optimized TbHo8Al2 structure.

Crystal system = monoclinic
Energy above the lowest structure with this stoichiometry = 0.119 eV per atom
E_form = 0.01 eV per atom

Cell and atoms, written as CIF:
```
data_TbHo8Al2
_chemical_formula_sum 'Tb2 Ho16 Al4'
_space_group_name_H-M_alt 'C 1 2/m 1'
_space_group_IT_number 12
_cell_length_a 8.7471
_cell_length_b 14.5636
_cell_length_c 5.5417
_cell_angle_alpha 90.00
_cell_angle_beta 112.94
_cell_angle_gamma 90.00
loop_
_space_group_symop_operation_xyz
'x,y,z'
'-x,-y,-z'
'-x,y,-z'
'x,-y,z'
'x+1/2,y+1/2,z'
'-x+1/2,-y+1/2,-z'
'-x+1/2,y+1/2,-z'
'x+1/2,-y+1/2,z'
loop_
_atom_site_label
_atom_site_fract_x
_atom_site_fract_y
_atom_site_fract_z
_atom_site_occupancy
Tb1 0.0000 0.0000 0.0000 1
Ho1 0.0000 0.2236 0.0000 1
Ho2 0.0965 0.5000 0.7958 1
Ho3 0.2071 0.1187 0.6126 1
Al1 0.0000 0.3079 0.5000 1
```

---

No. 6
DFT (GGA-PBE) results for a geometry-optimized Tb3HoAl2 structure.

Crystal system = orthorhombic
Energy above the lowest structure with this stoichiometry = 0.090 eV per atom
E_form = -0.20 eV per atom

Cell and atoms, written as CIF:
```
data_Tb3HoAl2
_chemical_formula_sum 'Tb6 Ho2 Al4'
_space_group_name_H-M_alt 'C m m m'
_space_group_IT_number 65
_space_group_name_Hall '-C 2 2'
_cell_length_a 4.8233
_cell_length_b 14.8617
_cell_length_c 4.3857
_cell_angle_alpha 90.00
_cell_angle_beta 90.00
_cell_angle_gamma 90.00
loop_
_atom_site_label
_atom_site_fract_x
_atom_site_fract_y
_atom_site_fract_z
_atom_site_occupancy
Tb1 0.0000 0.0000 0.0000 1
Tb2 0.0000 0.3255 0.0000 1
Ho1 0.0000 0.5000 0.5000 1
Al1 0.0000 0.1563 0.5000 1
```